(1)
! SrHgRu, relaxed, DFT PBE-GGA; values from VASP
&SYSTEM
  ibrav = 0, nat = 3, ntyp = 3
/
ATOMIC_SPECIES
Hg 200.59 Hg.upf
Sr 87.62 Sr.upf
Ru 101.07 Ru.upf
ATOMIC_POSITIONS crystal
Hg 0.000 0.000 0.000
Sr 0.750 0.750 0.750
Ru 0.500 0.500 0.500
CELL_PARAMETERS angstrom
-1.029 0.925 4.867
2.188 -2.776 3.620
3.528 2.062 2.984
! Excess energy over the best structure of this formula in the dataset (meV/atom): 807.1
! Formation energy (eV/atom): 1.057
! Electronic total energy (eV/atom): -2.70
! Crystal system: cubic
! Theoretical density (g/cm3): 7.06


(2)
! La12ThCo7, relaxed, DFT PBE-GGA; values from VASP
&SYSTEM
  ibrav = 0, nat = 20, ntyp = 3
/
ATOMIC_SPECIES
La 138.91 La.upf
Co 58.93 Co.upf
Th 232.04 Th.upf
ATOMIC_POSITIONS crystal
La 0.236 0.091 0.660
La 0.091 0.660 0.236
La 0.578 0.867 0.656
La 0.422 0.133 0.344
La 0.344 0.422 0.133
La 0.909 0.340 0.764
La 0.660 0.236 0.091
La 0.656 0.578 0.867
La 0.340 0.764 0.909
La 0.133 0.344 0.422
La 0.764 0.909 0.340
La 0.867 0.656 0.578
Co 0.284 0.054 0.960
Co 0.040 0.716 0.946
Co 0.946 0.040 0.716
Co 0.960 0.284 0.054
Co 0.054 0.960 0.284
Co 0.500 0.500 0.500
Co 0.716 0.946 0.040
Th 0.000 0.000 0.000
CELL_PARAMETERS angstrom
-7.530 -4.117 2.865
5.890 -6.205 -2.945
3.683 4.641 6.838
! Formation energy (eV/atom): -0.100
! Electronic total energy (eV/atom): -5.91
! Crystal system: trigonal
! Theoretical density (g/cm3): 6.72


(3)
! DyMnN2, relaxed, DFT PBE-GGA; values from VASP
&SYSTEM
  ibrav = 0, nat = 16, ntyp = 3
/
ATOMIC_SPECIES
Dy 162.50 Dy.upf
N 14.01 N.upf
Mn 54.94 Mn.upf
ATOMIC_POSITIONS crystal
Dy 0.250 0.405 0.642
Dy 0.250 0.905 0.858
Dy 0.750 0.095 0.142
Dy 0.750 0.595 0.358
N 0.750 0.715 0.013
N 0.750 0.657 0.744
N 0.250 0.343 0.256
N 0.750 0.157 0.756
N 0.750 0.215 0.487
N 0.250 0.843 0.244
N 0.250 0.285 0.987
N 0.250 0.785 0.513
Mn 0.750 0.916 0.608
Mn 0.750 0.416 0.892
Mn 0.250 0.584 0.108
Mn 0.250 0.084 0.392
CELL_PARAMETERS angstrom
3.220 0.000 0.000
0.000 5.414 0.000
0.000 0.000 10.478
! Energy relative to the elements, uncorrected (meV/atom): -979
! Electronic total energy (eV/atom): -8.58
! Crystal system: orthorhombic
! Theoretical density (g/cm3): 8.92